1.
Bi2SbPd7 PBE-GGA relaxed; volume = 21.3 Å³ per atom; E = -48.76 eV for the cell shown
1.0
3.807 -7.894 0.000
3.807 7.894 0.000
0.000 0.000 3.548
Bi Sb Pd
2 1 7
Direct
0.177 0.823 0.000
0.823 0.177 0.000
0.500 0.500 0.500
0.000 0.000 0.000
0.220 0.403 0.000
0.305 0.695 0.500
0.403 0.220 0.000
0.597 0.780 0.000
0.695 0.305 0.500
0.780 0.597 0.000



2.
Pm4PSCl2 PBE-GGA relaxed; volume = 24.6 Å³ per atom; E = -45.49 eV for the cell shown
1.0
7.061 0.000 0.000
0.000 4.119 0.000
-2.387 0.000 6.758
Pm P S Cl
4 1 1 2
Direct
0.237 0.000 0.212
0.262 0.500 0.786
0.738 0.500 0.214
0.763 0.000 0.788
0.500 0.000 0.000
0.000 0.500 0.000
0.000 0.000 0.500
0.500 0.500 0.500



Question: Which of these has the highest volume?
Answer: Pm4PSCl2